A relaxed structure of La11Pm9Sm4, computed with GGA-PBE.

Properties
Symmetry ... Cmmm, No. 65
Energy relative to the elements ... 0.061 eV/atom
Uncorrected energy ... -114.38 eV/f.u.

a = 3.753 Å, b = 15.790 Å, c = 15.790 Å
α = 112.93°, β = 90.00°, γ = 90.00°
Fractional coordinates of all 24 atoms:
La (0.000, 0.405, 0.044)
La (0.000, 0.708, 0.708)
Pm (0.500, 0.066, 0.212)
Pm (0.500, 0.632, 0.164)
Pm (0.500, 0.788, 0.934)
La (0.000, 0.368, 0.632)
Pm (0.500, 0.164, 0.632)
La (0.000, 0.632, 0.368)
La (0.000, 0.595, 0.956)
Pm (0.500, 0.500, 0.500)
La (0.000, 0.292, 0.292)
Pm (0.500, 0.212, 0.066)
Sm (0.500, 0.445, 0.242)
La (0.000, 0.044, 0.405)
La (0.000, 0.840, 0.160)
Pm (0.500, 0.934, 0.788)
La (0.000, 0.160, 0.840)
La (0.000, 0.956, 0.595)
Pm (0.500, 0.836, 0.368)
Sm (0.500, 0.555, 0.758)
Sm (0.500, 0.242, 0.445)
La (0.000, 0.000, 0.000)
Pm (0.500, 0.368, 0.836)
Sm (0.500, 0.758, 0.555)